# 1
# Y3CdP (PBE, relaxed)
# - total magnetization (μB per atom) = 0.000
# - Fermi-level density of states (states/eV/atom) = 1.483
# - polymorph energy (0 for the lowest one) (meV/atom) = 0.0
# - total energy (eV/atom) = -5.74
# - energy of formation from the pure elements (kJ per mole of atoms) = -57.5
data_Y3CdP
_cell_length_a 5.282
_cell_length_b 5.282
_cell_length_c 5.282
_cell_angle_alpha 90.00
_cell_angle_beta 90.00
_cell_angle_gamma 90.00
_symmetry_space_group_name_H-M 'P 1'
_symmetry_Int_Tables_number 1
loop_
_symmetry_equiv_pos_as_xyz
'x,y,z'
loop_
_atom_site_label
_atom_site_type_symbol
_atom_site_fract_x
_atom_site_fract_y
_atom_site_fract_z
_atom_site_occupancy
Cd1 Cd 0.500 0.500 0.500 1
P1 P 0.000 0.000 0.000 1
Y1 Y 0.500 0.000 0.000 1
Y2 Y 0.000 0.500 0.000 1
Y3 Y 0.000 0.000 0.500 1

# 2
# YCdP3 (PBE, relaxed)
# - total magnetization (μB per atom) = 0.000
# - Fermi-level density of states (states/eV/atom) = 0.776
# - polymorph energy (0 for the lowest one) (meV/atom) = 128.6
# - total energy (eV/atom) = -4.11
# - energy of formation from the pure elements (kJ per mole of atoms) = 59.3
data_YCdP3
_cell_length_a 5.248
_cell_length_b 5.248
_cell_length_c 5.248
_cell_angle_alpha 90.00
_cell_angle_beta 90.00
_cell_angle_gamma 90.00
_symmetry_space_group_name_H-M 'P 1'
_symmetry_Int_Tables_number 1
loop_
_symmetry_equiv_pos_as_xyz
'x,y,z'
loop_
_atom_site_label
_atom_site_type_symbol
_atom_site_fract_x
_atom_site_fract_y
_atom_site_fract_z
_atom_site_occupancy
P1 P 0.000 0.500 0.000 1
P2 P 0.000 0.000 0.500 1
P3 P 0.500 0.000 0.000 1
Cd1 Cd 0.500 0.500 0.500 1
Y1 Y 0.000 0.000 0.000 1

# 3
# Y2CdP (PBE, relaxed)
# - total magnetization (μB per atom) = 0.000
# - Fermi-level density of states (states/eV/atom) = 1.313
# - polymorph energy (0 for the lowest one) (meV/atom) = 415.7
# - total energy (eV/atom) = -5.31
# - energy of formation from the pure elements (kJ per mole of atoms) = -47.8
data_Y2CdP
_cell_length_a 5.091
_cell_length_b 5.091
_cell_length_c 5.091
_cell_angle_alpha 60.00
_cell_angle_beta 60.00
_cell_angle_gamma 60.00
_symmetry_space_group_name_H-M 'P 1'
_symmetry_Int_Tables_number 1
loop_
_symmetry_equiv_pos_as_xyz
'x,y,z'
loop_
_atom_site_label
_atom_site_type_symbol
_atom_site_fract_x
_atom_site_fract_y
_atom_site_fract_z
_atom_site_occupancy
Cd1 Cd 0.500 0.500 0.500 1
Y1 Y 0.250 0.250 0.250 1
Y2 Y 0.750 0.750 0.750 1
P1 P 0.000 0.000 0.000 1

# 4
# Y2CdP (PBE, relaxed)
# - total magnetization (μB per atom) = 0.000
# - Fermi-level density of states (states/eV/atom) = 0.666
# - polymorph energy (0 for the lowest one) (meV/atom) = 562.4
# - total energy (eV/atom) = -5.16
# - energy of formation from the pure elements (kJ per mole of atoms) = -33.7
data_Y2CdP
_cell_length_a 3.567
_cell_length_b 3.567
_cell_length_c 8.363
_cell_angle_alpha 90.00
_cell_angle_beta 90.00
_cell_angle_gamma 103.12
_symmetry_space_group_name_H-M 'P 1'
_symmetry_Int_Tables_number 1
loop_
_symmetry_equiv_pos_as_xyz
'x,y,z'
loop_
_atom_site_label
_atom_site_type_symbol
_atom_site_fract_x
_atom_site_fract_y
_atom_site_fract_z
_atom_site_occupancy
Cd1 Cd 0.000 0.000 0.456 1
Y1 Y 0.500 0.500 0.729 1
Y2 Y 0.000 0.000 0.067 1
P1 P 0.500 0.500 0.248 1

# 5
# Y2CdP (PBE, relaxed)
# - total magnetization (μB per atom) = 0.138
# - Fermi-level density of states (states/eV/atom) = 1.099
# - polymorph energy (0 for the lowest one) (meV/atom) = 259.0
# - total energy (eV/atom) = -5.47
# - energy of formation from the pure elements (kJ per mole of atoms) = -62.9
data_Y2CdP
_cell_length_a 8.258
_cell_length_b 8.258
_cell_length_c 8.258
_cell_angle_alpha 154.62
_cell_angle_beta 153.52
_cell_angle_gamma 37.01
_symmetry_space_group_name_H-M 'P 1'
_symmetry_Int_Tables_number 1
loop_
_symmetry_equiv_pos_as_xyz
'x,y,z'
loop_
_atom_site_label
_atom_site_type_symbol
_atom_site_fract_x
_atom_site_fract_y
_atom_site_fract_z
_atom_site_occupancy
Y1 Y 0.070 0.070 0.000 1
Y2 Y 0.774 0.274 0.500 1
Cd1 Cd 0.449 0.449 0.000 1
P1 P 0.207 0.707 0.500 1

# 6
# YCd2P (PBE, relaxed)
# - total magnetization (μB per atom) = 0.000
# - Fermi-level density of states (states/eV/atom) = 0.394
# - total energy (eV/atom) = -3.98
# - energy of formation from the pure elements (kJ per mole of atoms) = -53.4
data_YCd2P
_cell_length_a 6.464
_cell_length_b 6.464
_cell_length_c 3.815
_cell_angle_alpha 90.00
_cell_angle_beta 90.00
_cell_angle_gamma 144.52
_symmetry_space_group_name_H-M 'P 1'
_symmetry_Int_Tables_number 1
loop_
_symmetry_equiv_pos_as_xyz
'x,y,z'
loop_
_atom_site_label
_atom_site_type_symbol
_atom_site_fract_x
_atom_site_fract_y
_atom_site_fract_z
_atom_site_occupancy
Y1 Y 0.402 0.598 0.500 1
Cd1 Cd 0.080 0.920 0.000 1
Cd2 Cd 0.676 0.324 0.500 1
P1 P 0.858 0.142 0.000 1

# 7
# YCd2P (PBE, relaxed)
# - total magnetization (μB per atom) = 0.000
# - Fermi-level density of states (states/eV/atom) = 0.523
# - total energy (eV/atom) = -3.67
# - energy of formation from the pure elements (kJ per mole of atoms) = -23.3
data_YCd2P
_cell_length_a 5.356
_cell_length_b 5.356
_cell_length_c 5.356
_cell_angle_alpha 129.46
_cell_angle_beta 129.46
_cell_angle_gamma 74.27
_symmetry_space_group_name_H-M 'P 1'
_symmetry_Int_Tables_number 1
loop_
_symmetry_equiv_pos_as_xyz
'x,y,z'
loop_
_atom_site_label
_atom_site_type_symbol
_atom_site_fract_x
_atom_site_fract_y
_atom_site_fract_z
_atom_site_occupancy
P1 P 0.500 0.500 0.000 1
Cd1 Cd 0.000 0.000 0.000 1
Cd2 Cd 0.250 0.750 0.500 1
Y1 Y 0.750 0.250 0.500 1

# 8
# YCdP3 (PBE, relaxed)
# - total magnetization (μB per atom) = 0.000
# - Fermi-level density of states (states/eV/atom) = 0.736
# - polymorph energy (0 for the lowest one) (meV/atom) = 0.0
# - total energy (eV/atom) = -4.24
# - energy of formation from the pure elements (kJ per mole of atoms) = 46.9
data_YCdP3
_cell_length_a 4.906
_cell_length_b 4.906
_cell_length_c 4.906
_cell_angle_alpha 90.00
_cell_angle_beta 90.00
_cell_angle_gamma 90.00
_symmetry_space_group_name_H-M 'P 1'
_symmetry_Int_Tables_number 1
loop_
_symmetry_equiv_pos_as_xyz
'x,y,z'
loop_
_atom_site_label
_atom_site_type_symbol
_atom_site_fract_x
_atom_site_fract_y
_atom_site_fract_z
_atom_site_occupancy
P1 P 0.000 0.500 0.000 1
P2 P 0.000 0.000 0.500 1
P3 P 0.500 0.000 0.000 1
Cd1 Cd 0.000 0.000 0.000 1
Y1 Y 0.500 0.500 0.500 1

# 9
# YCd2P2 (PBE, relaxed)
# - total magnetization (μB per atom) = 0.000
# - Fermi-level density of states (states/eV/atom) = 0.342
# - total energy (eV/atom) = -4.20
# - energy of formation from the pure elements (kJ per mole of atoms) = -36.2
data_YCd2P2
_cell_length_a 3.920
_cell_length_b 3.920
_cell_length_c 7.727
_cell_angle_alpha 75.30
_cell_angle_beta 75.30
_cell_angle_gamma 90.00
_symmetry_space_group_name_H-M 'P 1'
_symmetry_Int_Tables_number 1
loop_
_symmetry_equiv_pos_as_xyz
'x,y,z'
loop_
_atom_site_label
_atom_site_type_symbol
_atom_site_fract_x
_atom_site_fract_y
_atom_site_fract_z
_atom_site_occupancy
Y1 Y 0.000 0.000 0.000 1
P1 P 0.422 0.422 0.156 1
P2 P 0.578 0.578 0.844 1
Cd1 Cd 0.750 0.250 0.500 1
Cd2 Cd 0.250 0.750 0.500 1

# 10
# YCd2P2 (PBE, relaxed)
# - total magnetization (μB per atom) = 0.000
# - Fermi-level density of states (states/eV/atom) = 0.525
# - total energy (eV/atom) = -3.95
# - energy of formation from the pure elements (kJ per mole of atoms) = -12.4
data_YCd2P2
_cell_length_a 4.942
_cell_length_b 4.942
_cell_length_c 5.728
_cell_angle_alpha 64.45
_cell_angle_beta 64.45
_cell_angle_gamma 90.00
_symmetry_space_group_name_H-M 'P 1'
_symmetry_Int_Tables_number 1
loop_
_symmetry_equiv_pos_as_xyz
'x,y,z'
loop_
_atom_site_label
_atom_site_type_symbol
_atom_site_fract_x
_atom_site_fract_y
_atom_site_fract_z
_atom_site_occupancy
Cd1 Cd 0.353 0.353 0.294 1
Cd2 Cd 0.647 0.647 0.706 1
Y1 Y 0.000 0.000 0.000 1
P1 P 0.750 0.250 0.500 1
P2 P 0.250 0.750 0.500 1